1.
VASP calculation (PBE) on a geometry-optimized Tb6Au2C structure.

It has space group P2_1/c (No. 14), with a = 6.7203 Å, b = 7.0857 Å, c = 11.7483 Å, α = 90.00°, β = 123.86° and γ = 90.00°. The inequivalent atoms are Tb at (0.1362, 0.0240, 0.2414), Tb at (0.2415, 0.7099, 0.0524), Tb at (0.3475, 0.1937, 0.0526), Au at (0.2831, 0.0728, 0.7511) and C at (0.0000, 0.0000, 0.0000).

For the energy of formation, the calculation gives -0.499 eV per atom.

=====

2.
VASP calculation (PBE) on a geometry-optimized TlFeBr2 structure.

It has space group C2/m (No. 12), with a = 6.3699 Å, b = 3.6693 Å, c = 9.3549 Å, α = 90.00°, β = 99.10° and γ = 90.00°. The inequivalent atoms are Tl at (0.0000, 0.0000, 0.0000), Fe at (0.0000, 0.5000, 0.5000) and Br at (0.2050, 0.0000, 0.6669).

As for the relative energy among the computed polymorphs: 0.000 eV/atom. For the uncorrected formation energy, the calculation gives -265 meV/atom.

=====

3.
VASP calculation (PBE) on a geometry-optimized Ba2YI7 structure.

It has space group Pnma (No. 62), with a = 15.0701 Å, b = 8.4202 Å, c = 17.2584 Å, α = 90.00°, β = 90.00° and γ = 90.00°. The inequivalent atoms are Ba at (0.2298, 0.2500, 0.2177), Ba at (0.2416, 0.7500, 0.4366), Y at (0.0666, 0.2500, 0.6923), I at (0.0880, 0.5134, 0.3313), I at (0.0914, 0.2500, 0.0662), I at (0.1218, 0.0127, 0.8188) and I at (0.1676, 0.0185, 0.5865).

As for the relative energy among the computed polymorphs: 0.055 eV/atom. For the uncorrected formation energy, the calculation gives -1559 meV/atom.

=====

4.
VASP calculation (PBE) on a geometry-optimized U2ZnSi4Os3 structure.

It has space group P-4m2 (No. 115), with a = 4.0434 Å, b = 4.0434 Å, c = 10.2069 Å, α = 90.00°, β = 90.00° and γ = 90.00°. The inequivalent atoms are U at (0.0000, 0.5000, 0.2431), Zn at (0.0000, 0.0000, 0.5000), Si at (0.0000, 0.0000, 0.0000), Si at (0.0000, 0.5000, 0.6352), Si at (0.5000, 0.5000, 0.0000), Os at (0.0000, 0.5000, 0.8661) and Os at (0.5000, 0.5000, 0.5000).

For the uncorrected formation energy, the calculation gives -318 meV/atom.

=====

5.
VASP calculation (PBE) on a geometry-optimized RbNp2SeO4 structure.

It has space group P4/mmm (No. 123), with a = 3.8421 Å, b = 3.8421 Å, c = 10.0314 Å, α = 90.00°, β = 90.00° and γ = 90.00°. The inequivalent atoms are Rb at (0.0000, 0.0000, 0.0000), Np at (0.5000, 0.5000, 0.3042), Se at (0.0000, 0.0000, 0.5000) and O at (0.0000, 0.5000, 0.2169).

For the uncorrected formation energy, the calculation gives -2270 meV/atom.

=====

6.
VASP calculation (PBE) on a geometry-optimized MgPt6W structure.

It has space group P4/mmm (No. 123), with a = 3.9719 Å, b = 3.9719 Å, c = 7.9135 Å, α = 90.00°, β = 90.00° and γ = 90.00°. The inequivalent atoms are Mg at (0.0000, 0.0000, 0.0000), Pt at (0.0000, 0.5000, 0.2581), Pt at (0.5000, 0.5000, 0.0000), Pt at (0.5000, 0.5000, 0.5000) and W at (0.0000, 0.0000, 0.5000).

For the energy of formation, the calculation gives -0.474 eV per atom.